(1)
# Ta2AlH PBE-GGA relaxed
# - Volume: 109 Å³ per cell
# - DOS(E_F): 4.05 states/eV/cell
# - Space-group type: Cm
# - ΔE to the lowest computed polymorph: 0.000 eV per atom
# - Raw total energy: -7.85 eV/atom
data_Ta2AlH
_symmetry_space_group_name_H-M 'P 1'
_symmetry_Int_Tables_number 1
_symmetry_space_group_name_Hall 'P 1'
_cell_length_a 5.106
_cell_length_b 2.950
_cell_length_c 7.446
_cell_angle_alpha 90.00
_cell_angle_beta 103.09
_cell_angle_gamma 90.00
loop_
_atom_site_label
_atom_site_type_symbol
_atom_site_fract_x
_atom_site_fract_y
_atom_site_fract_z
Ta1 Ta 0.000 0.000 0.000
Ta2 Ta 0.210 0.000 0.632
Ta3 Ta 0.500 0.500 0.000
Ta4 Ta 0.710 0.500 0.632
Al1 Al 0.439 0.000 0.317
Al2 Al 0.939 0.500 0.317
H1 H 0.107 0.500 0.821
H2 H 0.607 0.000 0.821

---

(2)
# Ta2AlH PBE-GGA relaxed
# - Volume: 237 Å³ per cell
# - DOS(E_F): 10.83 states/eV/cell
# - Space-group type: Fm-3m
# - ΔE to the lowest computed polymorph: 0.746 eV per atom
# - Raw total energy: -7.10 eV/atom
data_Ta2AlH
_symmetry_space_group_name_H-M 'P 1'
_symmetry_Int_Tables_number 1
_symmetry_space_group_name_Hall 'P 1'
_cell_length_a 6.184
_cell_length_b 6.184
_cell_length_c 6.184
_cell_angle_alpha 90.00
_cell_angle_beta 90.00
_cell_angle_gamma 90.00
loop_
_atom_site_label
_atom_site_type_symbol
_atom_site_fract_x
_atom_site_fract_y
_atom_site_fract_z
Ta1 Ta 0.250 0.250 0.250
Ta2 Ta 0.250 0.250 0.750
Ta3 Ta 0.250 0.750 0.250
Ta4 Ta 0.250 0.750 0.750
Ta5 Ta 0.750 0.250 0.250
Ta6 Ta 0.750 0.250 0.750
Ta7 Ta 0.750 0.750 0.250
Ta8 Ta 0.750 0.750 0.750
Al1 Al 0.000 0.000 0.000
Al2 Al 0.000 0.500 0.500
Al3 Al 0.500 0.000 0.500
Al4 Al 0.500 0.500 0.000
H1 H 0.000 0.000 0.500
H2 H 0.000 0.500 0.000
H3 H 0.500 0.000 0.000
H4 H 0.500 0.500 0.500

---

(3)
# Ta3AlH PBE-GGA relaxed
# - Volume: 72 Å³ per cell
# - DOS(E_F): 5.33 states/eV/cell
# - Space-group type: Pm-3m
# - ΔE to the lowest computed polymorph: 0.000 eV per atom
# - Raw total energy: -8.63 eV/atom
data_Ta3AlH
_symmetry_space_group_name_H-M 'P 1'
_symmetry_Int_Tables_number 1
_symmetry_space_group_name_Hall 'P 1'
_cell_length_a 4.169
_cell_length_b 4.169
_cell_length_c 4.169
_cell_angle_alpha 90.00
_cell_angle_beta 90.00
_cell_angle_gamma 90.00
loop_
_atom_site_label
_atom_site_type_symbol
_atom_site_fract_x
_atom_site_fract_y
_atom_site_fract_z
Ta1 Ta 0.000 0.000 0.500
Ta2 Ta 0.000 0.500 0.000
Ta3 Ta 0.500 0.000 0.000
Al1 Al 0.500 0.500 0.500
H1 H 0.000 0.000 0.000

---

> The highest DOS(E_F) belongs to which entry?

number 2

---

> Which value of DOS(E_F) does entry 2 give?

10.83 states/eV/cell

---

> What is the ΔE to the lowest computed polymorph in the first record?

0.000 eV per atom